Material: Al2CrAsPt
Method: DFT, GGA-PBE
State: relaxed

Calculated values
ΔH_f (0 K) = 0.216 eV/atom
total energy = -5.344 eV per atom
magnetization = 0.7189 μB per atom

Cell lengths 4.6609, 5.0833, 4.6609 Å; angles 90.00, 90.00, 90.00 degrees
Last column: nearest neighbours and their distance in Å.
Positions (direct):
Cr (0.0000, 0.5000, 0.0000)  2 Pt 2.54
As (0.5000, 0.5000, 0.5000)  4 Cr 3.30, 8 Al 3.45
Al (0.0000, 0.0000, 0.5000)  2 Pt 2.33
Al (0.5000, 0.0000, 0.0000)  2 Pt 2.33
Pt (0.0000, 0.0000, 0.0000)  4 Al 2.33, 2 Cr 2.54



Material: AlCrAsSe2
Method: DFT, GGA-PBE
State: relaxed

Calculated values
E_form (uncorrected) = 0.284 eV/atom
total energy = -4.713 eV per atom
magnetization = 0.3360 μB per atom
polymorph energy (0 for the lowest one) = 0 meV per atom

Cell lengths 4.8734, 4.8734, 4.6993 Å; angles 90.00, 90.00, 90.00 degrees
Last column: nearest neighbours and their distance in Å.
Positions (direct):
Cr (0.0000, 0.0000, 0.0000)  2 As 2.35, 4 Se 2.44
As (0.0000, 0.0000, 0.5000)  2 Cr 2.35
Al (0.5000, 0.5000, 0.5000)  8 Se 3.39, 4 As 3.45
Se (0.0000, 0.5000, 0.0000)  2 Cr 2.44
Se (0.5000, 0.0000, 0.0000)  2 Cr 2.44



Material: AlCrAsSe2
Method: DFT, GGA-PBE
State: relaxed

Calculated values
E_form (uncorrected) = 0.430 eV/atom
total energy = -4.567 eV per atom
magnetization = 0.6754 μB per atom
polymorph energy (0 for the lowest one) = 146 meV per atom

Cell lengths 4.9208, 4.9208, 4.7940 Å; angles 90.00, 90.00, 90.00 degrees
Last column: nearest neighbours and their distance in Å.
Positions (direct):
Cr (0.5000, 0.5000, 0.5000)  8 Se 3.44, 4 As 3.48
As (0.0000, 0.0000, 0.5000)  2 Al 2.40
Al (0.0000, 0.0000, 0.0000)  2 As 2.40, 4 Se 2.46
Se (0.0000, 0.5000, 0.0000)  2 Al 2.46
Se (0.5000, 0.0000, 0.0000)  2 Al 2.46